Entry 1:
{"formula": "LiIrPb2", "functional": "PBE", "state": "relaxed", "formation_energy_ev_per_atom": 0.074, "total_energy_ev_per_cell": -17.89, "spacegroup": "P4/mmm, No. 123", "lattice_angstrom": [[3.432, 0.000, 0.000], [0.000, 3.432, 0.000], [0.000, 0.000, 7.324]], "species": ["Li", "Ir", "Pb", "Pb"], "frac_coords": [[0.000, 0.000, 0.000], [0.000, 0.000, 0.500], [0.500, 0.500, 0.273], [0.500, 0.500, 0.727]]}

***

Entry 2:
{"formula": "Li2IrPb", "functional": "PBE", "state": "relaxed", "formation_energy_ev_per_atom": -0.076, "total_energy_ev_per_cell": -16.70, "spacegroup": "P4/mmm, No. 123", "lattice_angstrom": [[3.979, 0.000, 0.000], [0.000, 3.979, 0.000], [0.000, 0.000, 4.208]], "species": ["Li", "Li", "Ir", "Pb"], "frac_coords": [[0.000, 0.500, 0.000], [0.500, 0.000, 0.000], [0.000, 0.000, 0.500], [0.500, 0.500, 0.500]]}

***

Entry 3:
{"formula": "Li2IrPb", "functional": "PBE", "state": "relaxed", "formation_energy_ev_per_atom": 0.241, "total_energy_ev_per_cell": -30.87, "spacegroup": "Cmm2, No. 35", "lattice_angstrom": [[3.287, 0.000, 0.000], [0.000, 5.161, 0.000], [0.000, 0.000, 9.168]], "species": ["Li", "Li", "Li", "Li", "Ir", "Ir", "Pb", "Pb"], "frac_coords": [[0.000, 0.000, 0.000], [0.000, 0.500, 0.275], [0.500, 0.000, 0.275], [0.500, 0.500, 0.000], [0.000, 0.500, 0.787], [0.500, 0.000, 0.787], [0.000, 0.000, 0.544], [0.500, 0.500, 0.544]]}

***

Entry 4:
{"formula": "LiIr2Pb", "functional": "PBE", "state": "relaxed", "formation_energy_ev_per_atom": 0.298, "total_energy_ev_per_cell": -44.30, "spacegroup": "Cmmm, No. 65", "lattice_angstrom": [[5.725, 0.000, 0.000], [0.000, 7.590, 0.000], [0.000, 0.000, 3.038]], "species": ["Li", "Li", "Ir", "Ir", "Ir", "Ir", "Pb", "Pb"], "frac_coords": [[0.000, 0.000, 0.000], [0.500, 0.500, 0.000], [0.250, 0.250, 0.500], [0.250, 0.750, 0.500], [0.750, 0.250, 0.500], [0.750, 0.750, 0.500], [0.000, 0.500, 0.000], [0.500, 0.000, 0.000]]}

***

Number 1: ρ 11.81 g/cm3. Number 2: ρ 10.30 g/cm3. Number 3: ρ 8.82 g/cm3. Number 4: ρ 15.06 g/cm3.